Computed, not measured: a relaxed Sm6CdNi2 crystal at the PBE level of DFT.

## Properties
DFT total energy ... -4.773 eV/atom
Mass density ... 7.74 g/cm3
Total moment ... 0.0 μB/cell

Cell: 9.4359 9.9736 10.3193 Å, 90.00 90.00 90.00°
Space group Immm (No. 71)
One atom of each set of equivalent atoms:
Sm (0.0000, 0.2009, 0.2308) [8 per cell]
Sm (0.1918, 0.5000, 0.1769) [8 per cell]
Sm (0.2066, 0.3179, 0.5000) [8 per cell]
Cd (0.0000, 0.0000, 0.0000) [2 per cell]
Cd (0.0000, 0.0000, 0.5000) [2 per cell]
Ni (0.0000, 0.3556, 0.0000) [4 per cell]
Ni (0.0000, 0.5000, 0.3789) [4 per cell]